This record from OQMD via LeMat-Bulk describes a geometry-optimized K2CuAsF6 structure. The functional is PBE.

Cell: 5.808 5.808 5.808 Å, 60.00 60.00 60.00°
Fractional positions:
K 0.250 0.250 0.250
K 0.750 0.750 0.750
Cu 0.000 0.000 0.000
As 0.500 0.500 0.500
F 0.251 0.251 0.749
F 0.251 0.749 0.251
F 0.251 0.749 0.749
F 0.749 0.251 0.251
F 0.749 0.251 0.749
F 0.749 0.749 0.251

Calculated values
The value obtained for the electronic total energy is -4.28 eV/atom.

***

This record from OQMD via LeMat-Bulk describes a geometry-optimized HfSiSb structure. The functional is PBE.

Cell: 4.597 4.597 4.597 Å, 60.00 60.00 60.00°
Fractional positions:
Hf 0.000 0.000 0.000
Si 0.250 0.250 0.250
Sb 0.500 0.500 0.500

Calculated values
The value obtained for the electronic total energy is -6.25 eV/atom. As for the spin magnetization: 0.00 μB/f.u.

***

This record from OQMD via LeMat-Bulk describes a geometry-optimized Zr2Sb2O5 structure. The functional is PBE.

Cell: 4.064 4.064 8.148 Å, 90.00 90.00 90.00°
Fractional positions:
Zr 0.000 0.000 0.248
Zr 0.000 0.000 0.752
Sb 0.500 0.500 0.000
Sb 0.500 0.500 0.500
O 0.000 0.000 0.500
O 0.000 0.500 0.299
O 0.000 0.500 0.701
O 0.500 0.000 0.299
O 0.500 0.000 0.701

Calculated values
The value obtained for the electronic total energy is -7.35 eV/atom. As for the spin magnetization: 0.24 μB/f.u.

***

This record from OQMD via LeMat-Bulk describes a geometry-optimized ZrPdW structure. The functional is PBE.

Cell: 4.423 4.423 4.423 Å, 60.00 60.00 60.00°
Fractional positions:
Zr 0.000 0.000 0.000
Pd 0.750 0.750 0.750
W 0.500 0.500 0.500

Calculated values
For the formation energy, the calculation gives 1.7 eV per formula unit. As for the spin magnetization: 0.02 μB/f.u.

***

This record from OQMD via LeMat-Bulk describes a geometry-optimized BeCu4NiGe2 structure. The functional is PBE.

Cell: 4.102 4.102 5.803 Å, 90.00 90.00 90.00°
Fractional positions:
Be 0.000 0.000 0.000
Cu 0.000 0.500 0.238
Cu 0.000 0.500 0.762
Cu 0.500 0.000 0.238
Cu 0.500 0.000 0.762
Ni 0.500 0.500 0.500
Ge 0.000 0.000 0.500
Ge 0.500 0.500 0.000

Calculated values
The value obtained for the electronic total energy is -4.10 eV/atom. As for the spin magnetization: 0.00 μB/f.u.

***

This record from OQMD via LeMat-Bulk describes a geometry-optimized La2Cd4PtAu structure. The functional is PBE.

Cell: 8.490 5.579 5.579 Å, 46.50 90.00 90.00°
Fractional positions:
La 0.000 0.000 0.000
La 0.500 0.133 0.133
Cd 0.195 0.708 0.708
Cd 0.296 0.426 0.426
Cd 0.704 0.426 0.426
Cd 0.805 0.708 0.708
Pt 0.000 0.290 0.290
Au 0.500 0.840 0.840

Calculated values
For the formation energy, the calculation gives -4.9 eV per formula unit. As for the spin magnetization: 0.01 μB/f.u.

***

This record from OQMD via LeMat-Bulk describes a geometry-optimized GdTc structure. The functional is PBE.

Cell: 4.306 4.306 4.306 Å, 60.00 60.00 60.00°
Fractional positions:
Gd 0.000 0.000 0.000
Tc 0.750 0.750 0.750

Calculated values
For the formation energy, the calculation gives 3.8 eV per formula unit. As for the spin magnetization: 1.66 μB/f.u.

***

This record from OQMD via LeMat-Bulk describes a geometry-optimized MgBiIr2 structure. The functional is PBE.

Cell: 4.676 4.676 4.676 Å, 60.00 60.00 60.00°
Fractional positions:
Mg 0.000 0.000 0.000
Bi 0.750 0.750 0.750
Ir 0.250 0.250 0.250
Ir 0.500 0.500 0.500

Calculated values
The value obtained for the electronic total energy is -5.53 eV/atom. As for the spin magnetization: 0.01 μB/f.u.

***

This record from OQMD via LeMat-Bulk describes a geometry-optimized CoRe6Os structure. The functional is PBE.

Cell: 5.487 5.487 4.369 Å, 90.00 90.00 120.00°
Fractional positions:
Co 0.000 0.000 0.000
Re 0.330 0.165 0.500
Re 0.504 0.007 0.000
Re 0.504 0.496 0.000
Re 0.835 0.165 0.500
Re 0.835 0.670 0.500
Re 0.993 0.496 0.000
Os 0.333 0.667 0.500

Calculated values
For the formation energy, the calculation gives -0.4 eV per formula unit. As for the spin magnetization: 0.00 μB/f.u.

***

This record from OQMD via LeMat-Bulk describes a geometry-optimized Nd2AgSn2Au structure. The functional is PBE.

Cell: 4.799 4.799 7.687 Å, 90.00 90.00 120.00°
Fractional positions:
Nd 0.000 0.000 0.000
Nd 0.000 0.000 0.497
Ag 0.667 0.333 0.804
Sn 0.333 0.667 0.723
Sn 0.667 0.333 0.220
Au 0.333 0.667 0.312

Calculated values
The value obtained for the electronic total energy is -4.67 eV/atom. As for the spin magnetization: 0.01 μB/f.u.

***

This record from OQMD via LeMat-Bulk describes a geometry-optimized TbTlZnS3 structure. The functional is PBE.

Cell: 8.054 3.987 10.306 Å, 90.00 109.15 90.00°
Fractional positions:
Tb 0.191 0.250 0.138
Tb 0.809 0.750 0.862
Tl 0.228 0.750 0.715
Tl 0.772 0.250 0.285
Zn 0.424 0.750 0.392
Zn 0.576 0.250 0.608
S 0.046 0.250 0.862
S 0.284 0.250 0.437
S 0.434 0.750 0.170
S 0.566 0.250 0.830
S 0.716 0.750 0.563
S 0.954 0.750 0.138

Calculated values
The value obtained for the electronic total energy is -4.64 eV/atom. As for the spin magnetization: 0.00 μB/f.u.

***

This record from OQMD via LeMat-Bulk describes a geometry-optimized Fe2SnAu structure. The functional is PBE.

Cell: 4.492 4.492 4.492 Å, 60.00 60.00 60.00°
Fractional positions:
Fe 0.000 0.000 0.000
Fe 0.250 0.250 0.250
Sn 0.500 0.500 0.500
Au 0.750 0.750 0.750

Calculated values
The value obtained for the electronic total energy is -5.76 eV/atom. As for the spin magnetization: 5.33 μB/f.u.

***

This record from OQMD via LeMat-Bulk describes a geometry-optimized TbScCSe structure. The functional is PBE.

Cell: 3.647 3.647 12.864 Å, 90.00 90.00 120.00°
Fractional positions:
Tb 0.333 0.667 0.394
Tb 0.667 0.333 0.606
Sc 0.333 0.667 0.092
Sc 0.667 0.333 0.908
C 0.000 0.000 0.000
C 0.000 0.000 0.500
Se 0.333 0.667 0.766
Se 0.667 0.333 0.234

Calculated values
The value obtained for the electronic total energy is -7.03 eV/atom. As for the spin magnetization: 0.00 μB/f.u.

***

This record from OQMD via LeMat-Bulk describes a geometry-optimized Li2Nb2Pd3 structure. The functional is PBE.

Cell: 7.485 7.485 7.485 Å, 33.82 33.82 33.82°
Fractional positions:
Li 0.000 0.000 0.000
Li 0.492 0.492 0.492
Nb 0.239 0.239 0.239
Nb 0.749 0.749 0.749
Pd 0.368 0.368 0.368
Pd 0.621 0.621 0.621
Pd 0.872 0.872 0.872

Calculated values
The value obtained for the electronic total energy is -5.68 eV/atom. As for the spin magnetization: 0.01 μB/f.u.

***

This record from OQMD via LeMat-Bulk describes a geometry-optimized HfPtNO structure. The functional is PBE.

Cell: 4.599 4.599 4.428 Å, 90.00 90.00 90.00°
Fractional positions:
Hf 0.250 0.750 0.000
Hf 0.750 0.250 0.000
Pt 0.250 0.250 0.419
Pt 0.750 0.750 0.581
N 0.250 0.250 0.929
N 0.750 0.750 0.071
O 0.250 0.750 0.500
O 0.750 0.250 0.500

Calculated values
The value obtained for the electronic total energy is -8.19 eV/atom. As for the spin magnetization: 0.00 μB/f.u.

***

This record from OQMD via LeMat-Bulk describes a geometry-optimized BeNiIr2 structure. The functional is PBE.

Cell: 4.145 4.145 4.145 Å, 60.00 60.00 60.00°
Fractional positions:
Be 0.000 0.000 0.000
Ni 0.250 0.250 0.250
Ir 0.500 0.500 0.500
Ir 0.750 0.750 0.750

Calculated values
The value obtained for the electronic total energy is -6.65 eV/atom. As for the spin magnetization: 0.01 μB/f.u.

***

This record from OQMD via LeMat-Bulk describes a geometry-optimized ZrOs structure. The functional is PBE.

Cell: 4.572 13.366 4.576 Å, 90.00 90.00 90.00°
Fractional positions:
Zr 0.250 0.000 0.250
Zr 0.250 0.136 0.750
Zr 0.250 0.364 0.750
Zr 0.250 0.500 0.250
Zr 0.750 0.000 0.750
Zr 0.750 0.500 0.750
Zr 0.750 0.636 0.250
Zr 0.750 0.864 0.250
Os 0.250 0.250 0.250
Os 0.250 0.621 0.749
Os 0.250 0.750 0.250
Os 0.250 0.879 0.749
Os 0.750 0.121 0.251
Os 0.750 0.250 0.750
Os 0.750 0.379 0.251
Os 0.750 0.750 0.750

Calculated values
For the formation energy, the calculation gives -0.2 eV per formula unit. As for the spin magnetization: 0.00 μB/f.u.

***

This record from OQMD via LeMat-Bulk describes a geometry-optimized TaTlCoHg structure. The functional is PBE.

Cell: 4.668 4.668 4.668 Å, 60.00 60.00 60.00°
Fractional positions:
Ta 0.000 0.000 0.000
Tl 0.250 0.250 0.250
Co 0.500 0.500 0.500
Hg 0.750 0.750 0.750

Calculated values
The value obtained for the electronic total energy is -4.67 eV/atom. As for the spin magnetization: 1.07 μB/f.u.

***

This record from OQMD via LeMat-Bulk describes a geometry-optimized Mo2S structure. The functional is PBE.

Cell: 7.422 7.422 7.422 Å, 60.00 60.00 60.00°
Fractional positions:
Mo 0.000 0.000 0.000
Mo 0.000 0.000 0.500
Mo 0.000 0.500 0.000
Mo 0.500 0.000 0.000
S 0.125 0.125 0.125
S 0.875 0.875 0.875

Calculated values
The value obtained for the electronic total energy is -6.27 eV/atom. As for the spin magnetization: 5.60 μB/f.u.

***

This record from OQMD via LeMat-Bulk describes a geometry-optimized Sm4Se3N2 structure. The functional is PBE.

Cell: 7.098 7.098 10.535 Å, 128.00 128.00 32.95°
Fractional positions:
Sm 0.059 0.059 0.351
Sm 0.254 0.254 0.140
Sm 0.746 0.746 0.860
Sm 0.941 0.941 0.649
Se 0.334 0.334 0.727
Se 0.500 0.500 0.500
Se 0.666 0.666 0.273
N 0.149 0.149 0.862
N 0.851 0.851 0.138

Calculated values
The value obtained for the electronic total energy is -6.88 eV/atom. As for the spin magnetization: 0.00 μB/f.u.

***

This record from OQMD via LeMat-Bulk describes a geometry-optimized La7Te2Ir2 structure. The functional is PBE.

Cell: 9.947 9.947 9.947 Å, 156.25 66.03 119.41°
Fractional positions:
La 0.000 0.000 0.000
La 0.285 0.417 0.869
La 0.298 0.616 0.682
La 0.548 0.417 0.131
La 0.617 0.265 0.352
La 0.912 0.265 0.648
La 0.934 0.616 0.318
Te 0.262 0.762 0.500
Te 0.667 0.667 0.000
Ir 0.161 0.923 0.238
Ir 0.685 0.923 0.762

Calculated values
The value obtained for the electronic total energy is -6.20 eV/atom. As for the spin magnetization: 0.00 μB/f.u.

***

This record from OQMD via LeMat-Bulk describes a geometry-optimized Pr2As2IrPdO2 structure. The functional is PBE.

Cell: 4.205 4.205 8.235 Å, 90.00 90.00 90.00°
Fractional positions:
Pr 0.000 0.500 0.138
Pr 0.500 0.000 0.862
As 0.000 0.500 0.661
As 0.500 0.000 0.339
Ir 0.000 0.000 0.500
Pd 0.500 0.500 0.500
O 0.000 0.000 0.000
O 0.500 0.500 0.000

Calculated values
The value obtained for the electronic total energy is -7.12 eV/atom. As for the spin magnetization: 0.03 μB/f.u.

***

This record from OQMD via LeMat-Bulk describes a geometry-optimized TaTe4Ir structure. The functional is PBE.

Cell: 3.824 12.610 13.837 Å, 90.00 90.00 90.00°
Fractional positions:
Ta 0.000 0.054 0.000
Ta 0.000 0.270 0.487
Ta 0.500 0.730 0.987
Ta 0.500 0.946 0.500
Te 0.000 0.066 0.390
Te 0.000 0.194 0.855
Te 0.000 0.346 0.087
Te 0.000 0.413 0.629
Te 0.000 0.564 0.396
Te 0.000 0.677 0.848
Te 0.000 0.849 0.099
Te 0.000 0.893 0.638
Te 0.500 0.107 0.138
Te 0.500 0.151 0.599
Te 0.500 0.323 0.348
Te 0.500 0.436 0.896
Te 0.500 0.587 0.129
Te 0.500 0.654 0.587
Te 0.500 0.806 0.355
Te 0.500 0.934 0.890
Ir 0.000 0.536 0.996
Ir 0.000 0.755 0.488
Ir 0.500 0.245 0.988
Ir 0.500 0.464 0.496

Calculated values
The value obtained for the electronic total energy is -5.91 eV/atom. As for the spin magnetization: 0.01 μB/f.u.

***

| no. | V (Å³/atom) |
| --- | --- |
| 1 | 13.855 |
| 2 | 22.891 |
| 3 | 14.956 |
| 4 | 20.395 |
| 5 | 12.206 |
| 6 | 23.956 |
| 7 | 28.234 |
| 8 | 18.069 |
| 9 | 14.238 |
| 10 | 25.551 |
| 11 | 26.053 |
| 12 | 16.019 |
| 13 | 18.526 |
| 14 | 16.540 |
| 15 | 11.707 |
| 16 | 12.591 |
| 17 | 17.479 |
| 18 | 17.985 |
| 19 | 48.178 |
| 20 | 24.597 |
| 21 | 31.162 |
| 22 | 18.202 |
| 23 | 27.801 |